# 1
The following is a DFT calculation (PBE) of CdCu2Pt2 after structural relaxation.

a b c (Å): 3.795 3.795 6.405
angles (deg): 72.77 72.77 90.00
Sites, in units of the cell vectors:
Pt  0.750  0.250  0.500
Pt  0.250  0.750  0.500
Cu  0.400  0.400  0.201
Cu  0.600  0.600  0.799
Cd  0.000  0.000  0.000

Values from the calculation:
Energy above the lowest structure with this stoichiometry: 199 meV per atom
Crystal system: tetragonal


# 2
The following is a DFT calculation (PBE) of Cd2CuPt after structural relaxation.

a b c (Å): 4.872 4.872 5.108
angles (deg): 79.15 79.15 35.42
Sites, in units of the cell vectors:
Cd  0.002  0.002  0.996
Cd  0.498  0.498  0.504
Cu  0.750  0.750  0.750
Pt  0.250  0.250  0.250

Values from the calculation:
Crystal system: monoclinic


| no. | formation energy (kcal/mol of atoms) |
| --- | --- |
| 1 | 1.89 |
| 2 | -1.47 |